Computed, not measured: a relaxed Zr5InOs4 crystal at the PBE level of DFT.

a = 3.241 Å, b = 3.241 Å, c = 17.898 Å
α = 90.00°, β = 90.00°, γ = 90.00°
Space group P4/mmm (No. 123)
Inequivalent atoms, fractional coordinates:
1 Zr 0.000 0.000 0.000 x1
2 Zr 0.000 0.000 0.187 x2
3 Zr 0.000 0.000 0.373 x2
4 In 0.500 0.500 0.500 x1
5 Os 0.500 0.500 0.093 x2
6 Os 0.500 0.500 0.280 x2

---

Computed, not measured: a relaxed Nd2Dy3Hg2 crystal at the PBE level of DFT.

Values from the calculation:
Its distance to the lowest polymorph of the same formula is 0.0000 eV/atom.

a = 3.627 Å, b = 32.001 Å, c = 3.615 Å
α = 90.00°, β = 90.00°, γ = 90.00°
Space group Cmmm (No. 65)
Inequivalent atoms, fractional coordinates:
1 Nd 0.000 0.202 0.000 x4
2 Dy 0.000 0.379 0.500 x4
3 Dy 0.000 0.500 0.500 x2
4 Hg 0.000 0.060 0.000 x4

---

Computed, not measured: a relaxed CaLa5TlGa2 crystal at the PBE level of DFT.

a = 7.757 Å, b = 7.757 Å, c = 9.951 Å
α = 90.00°, β = 90.00°, γ = 90.00°
Space group P4/mbm (No. 127)
Inequivalent atoms, fractional coordinates:
1 Ca 0.000 0.000 0.000 x2
2 La 0.000 0.000 0.500 x2
3 La 0.191 0.309 0.265 x8
4 Tl 0.000 0.500 0.000 x2
5 Ga 0.113 0.613 0.500 x4

---

Computed, not measured: a relaxed Tb6TlHg crystal at the PBE level of DFT.

Values from the calculation:
Its distance to the lowest polymorph of the same formula is 0.0000 eV/atom.

a = 5.112 Å, b = 5.112 Å, c = 18.151 Å
α = 90.00°, β = 90.00°, γ = 90.00°
Space group I4/mmm (No. 139)
Inequivalent atoms, fractional coordinates:
1 Tb 0.000 0.000 0.250 x4
2 Tb 0.000 0.500 0.113 x8
3 Tl 0.000 0.000 0.000 x2
4 Hg 0.000 0.000 0.500 x2

---

| no. | total magnetization (μB/f.u.) | DFT formation energy (meV per atom) |
| --- | --- | --- |
| 1 | 0.0 | -459 |
| 2 | 0.1 | -209 |
| 3 | 0.0 | -308 |
| 4 | 0.0 | -192 |